A plane-wave DFT calculation with PBE with a Hubbard U was carried out for crystalline ScCoF5 at its relaxed geometry.

Summary:
calculated volume = 394.5 Å³/cell
uncorrected energy = -6.080 eV per atom

```
data_ScCoF5
_symmetry_space_group_name_H-M 'C 1 2/c 1'
_symmetry_Int_Tables_number 15
_symmetry_space_group_name_Hall '-C 2yc'
_cell_length_a 8.796
_cell_length_b 6.423
_cell_length_c 7.803
_cell_angle_alpha 90.00
_cell_angle_beta 116.49
_cell_angle_gamma 90.00
loop_
_atom_site_label
_atom_site_type_symbol
_atom_site_fract_x
_atom_site_fract_y
_atom_site_fract_z
_atom_site_occupancy
Sc1 Sc 0.000 0.000 0.000 1
Co1 Co 0.000 0.477 0.250 1
F1 F 0.000 0.117 0.250 1
F2 F 0.027 0.302 0.949 1
F3 F 0.248 0.457 0.362 1
```